(1)
## Ce4In3Hg (PBE)

Data for Ce4In3Hg after structural relaxation.

Structure (CIF):
```
data_Ce4In3Hg
_cell_length_a 4.8792
_cell_length_b 4.5200
_cell_length_c 10.0535
_cell_angle_alpha 97.98
_cell_angle_beta 104.04
_cell_angle_gamma 90.00
_space_group_name_H-M_alt 'P 1'
_space_group_IT_number 1
loop_
_space_group_symop_operation_xyz
'x,y,z'
loop_
_atom_site_label
_atom_site_fract_x
_atom_site_fract_y
_atom_site_fract_z
Ce1 0.2623 0.7027 0.5246
Ce2 0.3788 0.4213 0.7576
Ce3 0.6212 0.5787 0.2424
Ce4 0.7377 0.2973 0.4754
In1 0.8720 0.9136 0.7441
In2 0.0000 0.5000 0.0000
In3 0.1280 0.0864 0.2559
Hg1 0.5000 0.0000 0.0000
```

Output
E_form   -0.237 eV per atom
Energy relative to the lowest polymorph listed for this composition   0.109 eV/atom
DFT total energy   -34.2 eV per cell
SG   No. 12
Theoretical density   8.6 g/cm³
Magnetic moment   0.34 μB/atom

---

(2)
## CaTlRe2I (PBE)

Data for CaTlRe2I after structural relaxation.

Structure (CIF):
```
data_CaTlRe2I
_cell_length_a 5.2016
_cell_length_b 6.0713
_cell_length_c 5.2016
_cell_angle_alpha 90.00
_cell_angle_beta 90.00
_cell_angle_gamma 90.00
_space_group_name_H-M_alt 'P 1'
_space_group_IT_number 1
loop_
_space_group_symop_operation_xyz
'x,y,z'
loop_
_atom_site_label
_atom_site_fract_x
_atom_site_fract_y
_atom_site_fract_z
Re1 0.5000 0.0000 0.0000
Re2 0.0000 0.0000 0.5000
Tl1 0.0000 0.0000 0.0000
Ca1 0.0000 0.5000 0.0000
I1 0.5000 0.5000 0.5000
```

Output
Formation energy without anion corrections   1.9472 eV per atom
DFT total energy   -21.1 eV per cell
SG   No. 123
Theoretical density   7.5 g/cm³
Magnetic moment   1.25 μB/atom